# La2PrPaSe3O4 | OQMD via LeMat-Bulk | PBE | optimized geometry
data_La2PrPaSe3O4
_space_group_name_H-M_alt 'P 1'
_space_group_IT_number 1
_cell_length_a 8.702
_cell_length_b 6.665
_cell_length_c 6.665
_cell_angle_alpha 34.92
_cell_angle_beta 90.00
_cell_angle_gamma 90.00
loop_
_space_group_symop_operation_xyz
'x,y,z'
loop_
_atom_site_label
_atom_site_type_symbol
_atom_site_fract_x
_atom_site_fract_y
_atom_site_fract_z
_atom_site_occupancy
O1 O 0.000 0.581 0.581 1
O2 O 0.767 0.083 0.083 1
O3 O 0.500 0.619 0.619 1
O4 O 0.233 0.083 0.083 1
Pr1 Pr 0.500 0.008 0.008 1
Se1 Se 0.671 0.367 0.367 1
Se2 Se 0.329 0.367 0.367 1
Se3 Se 0.000 0.309 0.309 1
La1 La 0.245 0.689 0.689 1
La2 La 0.755 0.689 0.689 1
Pa1 Pa 0.000 0.998 0.998 1
# Symmetry = Amm2, No. 38



# La2Pd2O5 | OQMD via LeMat-Bulk | PBE | optimized geometry
data_La2Pd2O5
_space_group_name_H-M_alt 'P 1'
_space_group_IT_number 1
_cell_length_a 9.644
_cell_length_b 3.839
_cell_length_c 3.839
_cell_angle_alpha 90.00
_cell_angle_beta 90.00
_cell_angle_gamma 90.00
loop_
_space_group_symop_operation_xyz
'x,y,z'
loop_
_atom_site_label
_atom_site_type_symbol
_atom_site_fract_x
_atom_site_fract_y
_atom_site_fract_z
_atom_site_occupancy
La1 La 0.743 0.500 0.500 1
La2 La 0.257 0.500 0.500 1
O1 O 0.500 0.500 0.500 1
O2 O 0.873 0.000 0.500 1
O3 O 0.126 0.500 0.000 1
O4 O 0.126 0.000 0.500 1
O5 O 0.873 0.500 0.000 1
Pd1 Pd 0.500 0.000 0.000 1
Pd2 Pd 0.000 0.000 0.000 1
# ΔE to the lowest computed polymorph = 44.0 kJ/mol of atoms
# Symmetry = P4/mmm, No. 123



# LaPd3O6 | OQMD via LeMat-Bulk | PBE | optimized geometry
data_LaPd3O6
_space_group_name_H-M_alt 'P 1'
_space_group_IT_number 1
_cell_length_a 5.654
_cell_length_b 5.654
_cell_length_c 5.654
_cell_angle_alpha 111.33
_cell_angle_beta 111.33
_cell_angle_gamma 111.33
loop_
_space_group_symop_operation_xyz
'x,y,z'
loop_
_atom_site_label
_atom_site_type_symbol
_atom_site_fract_x
_atom_site_fract_y
_atom_site_fract_z
_atom_site_occupancy
La1 La 0.008 0.008 0.008 1
O1 O 0.583 0.993 0.993 1
O2 O 0.474 0.199 0.474 1
O3 O 0.993 0.993 0.583 1
O4 O 0.199 0.474 0.474 1
O5 O 0.474 0.474 0.199 1
O6 O 0.993 0.583 0.993 1
Pd1 Pd 0.404 0.808 0.404 1
Pd2 Pd 0.808 0.404 0.404 1
Pd3 Pd 0.404 0.404 0.808 1
# Symmetry = R3m, No. 160



no.,size of the total moment (μB/f.u.),DFT total energy (hartree per atom)
1,1.007,-0.2770
2,0.065,-0.2358
3,0.970,-0.2078